No. 1
Entry from the Alexandria database: a relaxed Mg3Os crystal (GGA-PBE).

```
data_Mg3Os
_chemical_formula_sum 'Mg3 Os1'
_cell_length_a 5.062
_cell_length_b 5.062
_cell_length_c 5.062
_cell_angle_alpha 90.00
_cell_angle_beta 90.00
_cell_angle_gamma 90.00
_symmetry_space_group_name_H-M 'P m -3 m'
_symmetry_Int_Tables_number 221
_symmetry_space_group_name_Hall '-P 4 2 3'
loop_
_atom_site_label
_atom_site_fract_x
_atom_site_fract_y
_atom_site_fract_z
Mg1 0.000 0.000 0.500
Os1 0.000 0.000 0.000
```

Summary:
- total energy (eV per atom) = -3.18
- total magnetic moment (Bohr magnetons per cell) = 0.0

No. 2
Entry from the Alexandria database: a relaxed La6MgCu crystal (GGA-PBE).

```
data_La6MgCu
_chemical_formula_sum 'La12 Mg2 Cu2'
_cell_length_a 5.347
_cell_length_b 5.347
_cell_length_c 18.011
_cell_angle_alpha 90.00
_cell_angle_beta 90.00
_cell_angle_gamma 90.00
_symmetry_space_group_name_H-M 'I 4/m m m'
_symmetry_Int_Tables_number 139
_symmetry_space_group_name_Hall '-I 4 2'
loop_
_atom_site_label
_atom_site_fract_x
_atom_site_fract_y
_atom_site_fract_z
La1 0.000 0.000 0.248
La2 0.000 0.500 0.107
Mg1 0.000 0.000 0.000
Cu1 0.000 0.000 0.500
```

Summary:
- total energy (eV per atom) = -4.42
- total magnetic moment (Bohr magnetons per cell) = 0.0

No. 3
Entry from the Alexandria database: a relaxed AcPmPtAu crystal (GGA-PBE).

```
data_AcPmPtAu
_chemical_formula_sum 'Ac4 Pm4 Pt4 Au4'
_cell_length_a 7.498
_cell_length_b 7.498
_cell_length_c 7.498
_cell_angle_alpha 90.00
_cell_angle_beta 90.00
_cell_angle_gamma 90.00
_symmetry_space_group_name_H-M 'F -4 3 m'
_symmetry_Int_Tables_number 216
_symmetry_space_group_name_Hall 'F -4 2 3'
loop_
_atom_site_label
_atom_site_fract_x
_atom_site_fract_y
_atom_site_fract_z
Ac1 0.000 0.000 0.000
Pm1 0.000 0.000 0.500
Pt1 0.250 0.250 0.750
Au1 0.250 0.250 0.250
```

Summary:
- total energy (eV per atom) = -5.41
- total magnetic moment (Bohr magnetons per cell) = 0.0

No. 4
Entry from the Alexandria database: a relaxed TmLu2Te crystal (GGA-PBE).

```
data_TmLu2Te
_chemical_formula_sum 'Tm1 Lu2 Te1'
_cell_length_a 3.793
_cell_length_b 3.793
_cell_length_c 7.715
_cell_angle_alpha 90.00
_cell_angle_beta 90.00
_cell_angle_gamma 90.00
_symmetry_space_group_name_H-M 'P 4/m m m'
_symmetry_Int_Tables_number 123
_symmetry_space_group_name_Hall '-P 4 2'
loop_
_atom_site_label
_atom_site_fract_x
_atom_site_fract_y
_atom_site_fract_z
Tm1 0.000 0.000 0.000
Lu1 0.500 0.500 0.270
Te1 0.000 0.000 0.500
```

Summary:
- total energy (eV per atom) = -4.67
- raw formation energy (eV/atom) = -0.50
- total magnetic moment (Bohr magnetons per cell) = 0.0

No. 5
Entry from the Alexandria database: a relaxed Fe2AgRu2 crystal (GGA-PBE).

```
data_Fe2AgRu2
_chemical_formula_sum 'Fe4 Ag2 Ru4'
_cell_length_a 7.312
_cell_length_b 7.312
_cell_length_c 2.664
_cell_angle_alpha 90.00
_cell_angle_beta 90.00
_cell_angle_gamma 90.00
_symmetry_space_group_name_H-M 'P 4/m b m'
_symmetry_Int_Tables_number 127
_symmetry_space_group_name_Hall '-P 4 2ab'
loop_
_atom_site_label
_atom_site_fract_x
_atom_site_fract_y
_atom_site_fract_z
Fe1 0.165 0.335 0.000
Ag1 0.000 0.000 0.500
Ru1 0.129 0.629 0.500
```

Summary:
- total energy (eV per atom) = -7.28
- total magnetic moment (Bohr magnetons per cell) = 7.5

No. 6
Entry from the Alexandria database: a relaxed Nd4Dy11Ho9 crystal (GGA-PBE).

```
data_Nd4Dy11Ho9
_chemical_formula_sum 'Nd8 Dy22 Ho18'
_cell_length_a 16.682
_cell_length_b 25.101
_cell_length_c 3.684
_cell_angle_alpha 90.00
_cell_angle_beta 90.00
_cell_angle_gamma 90.00
_symmetry_space_group_name_H-M 'C m m m'
_symmetry_Int_Tables_number 65
_symmetry_space_group_name_Hall '-C 2 2'
loop_
_atom_site_label
_atom_site_fract_x
_atom_site_fract_y
_atom_site_fract_z
Nd1 0.155 0.100 0.000
Dy1 0.000 0.135 0.500
Dy2 0.000 0.340 0.500
Dy3 0.000 0.500 0.500
Dy4 0.212 0.000 0.500
Dy5 0.226 0.319 0.500
Ho1 0.000 0.000 0.000
Ho2 0.102 0.236 0.000
Ho3 0.138 0.427 0.000
```

Summary:
- total energy (eV per atom) = -4.56
- total magnetic moment (Bohr magnetons per cell) = 0.0

No. 7
Entry from the Alexandria database: a relaxed KLa2InRu crystal (GGA-PBE).

```
data_KLa2InRu
_chemical_formula_sum 'K1 La2 In1 Ru1'
_cell_length_a 5.515
_cell_length_b 5.515
_cell_length_c 5.499
_cell_angle_alpha 90.00
_cell_angle_beta 90.00
_cell_angle_gamma 90.00
_symmetry_space_group_name_H-M 'P 4/m m m'
_symmetry_Int_Tables_number 123
_symmetry_space_group_name_Hall '-P 4 2'
loop_
_atom_site_label
_atom_site_fract_x
_atom_site_fract_y
_atom_site_fract_z
K1 0.000 0.000 0.000
La1 0.000 0.500 0.500
In1 0.500 0.500 0.000
Ru1 0.500 0.500 0.500
```

Summary:
- total energy (eV per atom) = -4.74
- total magnetic moment (Bohr magnetons per cell) = 0.0

No. 8
Entry from the Alexandria database: a relaxed FePd4Au5 crystal (GGA-PBE).

```
data_FePd4Au5
_chemical_formula_sum 'Fe2 Pd8 Au10'
_cell_length_a 14.230
_cell_length_b 4.104
_cell_length_c 6.898
_cell_angle_alpha 90.00
_cell_angle_beta 118.73
_cell_angle_gamma 90.00
_symmetry_space_group_name_H-M 'C 1 2/m 1'
_symmetry_Int_Tables_number 12
_symmetry_space_group_name_Hall '-C 2y'
loop_
_atom_site_label
_atom_site_fract_x
_atom_site_fract_y
_atom_site_fract_z
Fe1 0.000 0.000 0.000
Pd1 0.018 0.500 0.233
Pd2 0.171 0.000 0.403
Au1 0.000 0.000 0.500
Au2 0.160 0.500 0.696
Au3 0.185 0.500 0.125
```

Summary:
- total energy (eV per atom) = -4.52
- total magnetic moment (Bohr magnetons per cell) = 8.1

No. 9
Entry from the Alexandria database: a relaxed In6Sn3Hg2 crystal (GGA-PBE).

```
data_In6Sn3Hg2
_chemical_formula_sum 'In12 Sn6 Hg4'
_cell_length_a 14.845
_cell_length_b 3.403
_cell_length_c 12.036
_cell_angle_alpha 90.00
_cell_angle_beta 94.22
_cell_angle_gamma 90.00
_symmetry_space_group_name_H-M 'C 1 2/m 1'
_symmetry_Int_Tables_number 12
_symmetry_space_group_name_Hall '-C 2y'
loop_
_atom_site_label
_atom_site_fract_x
_atom_site_fract_y
_atom_site_fract_z
In1 0.038 0.000 0.232
In2 0.138 0.500 0.684
In3 0.218 0.500 0.150
Sn1 0.000 0.000 0.500
Sn2 0.178 0.500 0.420
Hg1 0.103 0.000 0.965
```

Summary:
- total energy (eV per atom) = -2.62
- total magnetic moment (Bohr magnetons per cell) = 0.0

No. 10
Entry from the Alexandria database: a relaxed TlSnO2 crystal (GGA-PBE).

```
data_TlSnO2
_chemical_formula_sum 'Tl4 Sn4 O8'
_cell_length_a 6.308
_cell_length_b 6.308
_cell_length_c 6.308
_cell_angle_alpha 90.00
_cell_angle_beta 90.00
_cell_angle_gamma 90.00
_symmetry_space_group_name_H-M 'F m -3 m'
_symmetry_Int_Tables_number 225
_symmetry_space_group_name_Hall '-F 4 2 3'
loop_
_atom_site_label
_atom_site_fract_x
_atom_site_fract_y
_atom_site_fract_z
Tl1 0.000 0.000 0.000
Sn1 0.000 0.000 0.500
O1 0.250 0.250 0.250
```

Summary:
- total energy (eV per atom) = -4.39
- raw formation energy (eV/atom) = -0.32
- total magnetic moment (Bohr magnetons per cell) = 0.0

No. 11
Entry from the Alexandria database: a relaxed CuSnPd2 crystal (GGA-PBE).

```
data_CuSnPd2
_chemical_formula_sum 'Cu4 Sn4 Pd8'
_cell_length_a 3.983
_cell_length_b 7.975
_cell_length_c 8.031
_cell_angle_alpha 90.00
_cell_angle_beta 90.00
_cell_angle_gamma 90.00
_symmetry_space_group_name_H-M 'P m m m'
_symmetry_Int_Tables_number 47
_symmetry_space_group_name_Hall '-P 2 2'
loop_
_atom_site_label
_atom_site_fract_x
_atom_site_fract_y
_atom_site_fract_z
Cu1 0.000 0.000 0.000
Cu2 0.000 0.500 0.500
Cu3 0.500 0.244 0.500
Sn1 0.000 0.250 0.248
Pd1 0.000 0.000 0.500
Pd2 0.000 0.500 0.000
Pd3 0.500 0.000 0.251
Pd4 0.500 0.248 0.000
Pd5 0.500 0.500 0.272
```

Summary:
- total energy (eV per atom) = -4.96
- total magnetic moment (Bohr magnetons per cell) = 0.0